Entry from Alexandria via LeMat-Bulk: a relaxed structure of Tb3PrY3 (PBE).

Output
**Crystal system**: trigonal
**Density of states at the Fermi level**: 12.3 states/eV/cell
**Calculated density**: 6.25 Mg/m³
**VASP energy**: -36.1 eV/cell
**Formation enthalpy at 0 K**: 0.2745 eV/atom
**Energy above the most stable polymorph in this dataset**: 44.8 meV/atom

Cell: 7.174 6.597 6.597 Å, 107.63 111.26 111.26°
Fractional positions:
1 Tb 0.015 0.555 0.555
2 Tb 0.461 0.000 0.445
3 Tb 0.461 0.445 0.000
4 Pr 0.499 0.000 0.000
5 Y 0.596 0.625 0.625
6 Y 0.971 0.000 0.375
7 Y 0.971 0.375 0.000